This record from Alexandria via LeMat-Bulk describes crystalline Sm12YTl4O3 at its relaxed geometry. The functional is PBE-GGA.

Cell lengths 8.8437, 8.8437, 8.8437 Å; angles 109.47, 109.47, 109.47 degrees
Fractional coordinates of all 20 atoms:
1 Sm 0.0000 0.2753 0.2753
2 Sm 0.0000 0.7247 0.7247
3 Sm 0.2500 0.5000 0.7500
4 Sm 0.2500 0.7500 0.5000
5 Sm 0.2753 0.0000 0.2753
6 Sm 0.2753 0.2753 0.0000
7 Sm 0.5000 0.2500 0.7500
8 Sm 0.5000 0.7500 0.2500
9 Sm 0.7247 0.0000 0.7247
10 Sm 0.7247 0.7247 0.0000
11 Sm 0.7500 0.2500 0.5000
12 Sm 0.7500 0.5000 0.2500
13 Y 0.0000 0.0000 0.0000
14 Tl 0.0000 0.0000 0.5000
15 Tl 0.0000 0.5000 0.0000
16 Tl 0.5000 0.0000 0.0000
17 Tl 0.5000 0.5000 0.5000
18 O 0.0000 0.5000 0.5000
19 O 0.5000 0.0000 0.5000
20 O 0.5000 0.5000 0.0000

Computed properties:
- E: -5.095 eV/atom